## KSiAs (GGA-PBE)

Data for a geometry-optimized KSiAs structure.

Cell and atoms, written as CIF:
```
data_KSiAs
_chemical_formula_sum 'K1 Si1 As1'
_space_group_name_H-M_alt 'P 1'
_space_group_IT_number 1
_cell_length_a 6.4936
_cell_length_b 6.4936
_cell_length_c 6.4936
_cell_angle_alpha 149.02
_cell_angle_beta 149.02
_cell_angle_gamma 44.38
loop_
_space_group_symop_operation_xyz
'x,y,z'
loop_
_atom_site_label
_atom_site_type_symbol
_atom_site_fract_x
_atom_site_fract_y
_atom_site_fract_z
K1 K 0.0000 0.0000 0.0000
Si1 Si 0.2896 0.2896 0.0000
As1 As 0.7102 0.7102 0.0000
```

Formation energy (no corrections) ... -0.02 eV per atom

## KSi2As (GGA-PBE)

Data for a geometry-optimized KSi2As structure.

Cell and atoms, written as CIF:
```
data_KSi2As
_chemical_formula_sum 'K1 Si2 As1'
_space_group_name_H-M_alt 'P 1'
_space_group_IT_number 1
_cell_length_a 4.6204
_cell_length_b 4.6204
_cell_length_c 6.5376
_cell_angle_alpha 100.88
_cell_angle_beta 100.88
_cell_angle_gamma 45.15
loop_
_space_group_symop_operation_xyz
'x,y,z'
loop_
_atom_site_label
_atom_site_type_symbol
_atom_site_fract_x
_atom_site_fract_y
_atom_site_fract_z
K1 K 0.0000 0.0000 0.0000
Si1 Si 0.2302 0.2302 0.6282
Si2 Si 0.5133 0.5133 0.5334
As1 As 0.7710 0.7710 0.3632
```

Formation energy (no corrections) ... 0.10 eV per atom